(1)
HfCo2Bi | PBE | relaxed

```
HfCo2Bi
1.0
4.247 0.000 0.000
0.000 4.247 0.000
2.123 2.123 8.460
Bi Co Hf
2 4 2
Cartesian
4.247 2.123 4.230 Bi
0.000 0.000 0.000 Bi
2.990 1.062 2.115 Co
5.308 5.113 6.345 Co
3.185 3.380 6.345 Co
1.257 3.185 2.115 Co
2.123 4.247 4.230 Hf
2.123 2.123 0.000 Hf
```

Properties
**Symmetry**: I-42d

=====

(2)
Hf5Co2Bi2 | PBE | relaxed

```
Hf5Co2Bi2
1.0
6.777 0.000 2.460
0.000 7.310 0.000
0.883 0.000 8.131
Hf Bi Co
10 4 4
Cartesian
5.180 2.459 3.529 Hf
5.868 6.114 8.291 Hf
3.388 3.655 1.230 Hf
0.539 4.850 1.845 Hf
7.121 2.459 8.746 Hf
0.000 0.000 0.000 Hf
3.733 1.195 7.516 Hf
1.792 1.195 2.299 Hf
2.480 4.850 7.061 Hf
3.927 6.114 3.075 Hf
5.342 3.655 6.412 Bi
1.954 0.000 5.182 Bi
5.706 0.000 5.408 Bi
2.318 3.655 4.178 Bi
5.872 4.599 2.131 Co
4.293 0.944 1.558 Co
2.483 6.366 0.901 Co
0.905 2.711 0.329 Co
```

Properties
**Symmetry**: Cmce

=====

(3)
HfCo3Bi | PBE | relaxed

```
HfCo3Bi
1.0
-0.351 -3.805 2.594
1.717 -2.522 -3.467
4.273 0.701 1.606
Bi Hf Co
1 1 3
Cartesian
2.819 -2.813 0.366 Bi
0.000 0.000 0.000 Hf
0.858 -1.261 -1.733 Co
2.136 0.350 0.803 Co
-0.175 -1.902 1.297 Co
```

Properties
**Relative energy among the computed polymorphs**: 0.0 meV/atom
**Symmetry**: Pm-3m

=====

(4)
Hf6Co2Bi | PBE | relaxed

```
Hf6Co2Bi
1.0
-5.466 2.217 5.145
-2.364 0.633 -7.434
1.895 -7.584 0.385
Hf Co Bi
12 4 2
Cartesian
-1.422 -6.331 -3.018 Hf
-3.398 -3.649 -3.144 Hf
-1.796 -1.074 -2.202 Hf
-3.897 -0.081 3.927 Hf
-4.513 1.597 1.114 Hf
-1.261 -3.949 -0.602 Hf
-4.673 -0.786 -1.302 Hf
-3.956 -3.219 3.437 Hf
-2.037 -4.653 -5.831 Hf
-2.536 -1.085 1.239 Hf
-1.979 -1.516 -5.341 Hf
-4.139 -3.661 0.297 Hf
-5.106 1.858 -1.493 Co
-1.845 -3.566 1.870 Co
-4.090 -1.169 -3.775 Co
-0.828 -6.593 -0.412 Co
-0.234 -3.476 -3.525 Bi
0.000 0.000 0.000 Bi
```

Properties
**Symmetry**: Immm

=====

(5)
Hf6CoBi3 | PBE | relaxed

```
Hf6CoBi3
1.0
5.246 0.000 0.000
0.000 8.937 -1.252
0.000 -1.027 9.845
Hf Bi Co
12 6 2
Cartesian
3.934 4.092 8.328 Hf
3.934 0.964 6.570 Hf
1.311 3.818 0.264 Hf
3.934 8.191 0.460 Hf
1.311 0.684 4.671 Hf
1.311 6.947 2.023 Hf
3.934 6.970 6.943 Hf
3.934 2.408 2.752 Hf
1.311 0.940 1.649 Hf
1.311 5.502 5.841 Hf
1.311 -0.281 8.133 Hf
3.934 7.226 3.922 Hf
1.311 2.654 7.116 Bi
3.934 4.303 5.308 Bi
3.934 5.256 1.477 Bi
3.934 1.844 -0.206 Bi
1.311 3.607 3.285 Bi
1.311 6.067 8.799 Bi
3.934 0.367 3.978 Co
1.311 7.543 4.615 Co
```

Properties
**Relative energy among the computed polymorphs**: 0.0 meV/atom
**Symmetry**: P2_1/m

=====

(6)
Hf2Co2Bi | PBE | relaxed

```
Hf2Co2Bi
1.0
-2.176 -0.801 -2.597
-0.463 -3.169 1.365
-7.556 0.806 3.749
Co Hf Bi
2 2 1
Cartesian
-4.669 -2.174 2.249 Co
-5.526 -0.990 0.268 Co
-7.172 -1.942 1.941 Hf
-3.022 -1.223 0.576 Hf
0.000 0.000 0.000 Bi
```

Properties
**Relative energy among the computed polymorphs**: 247.7 meV/atom
**Symmetry**: I4/mmm

=====

(7)
Hf12Co5Bi | PBE | relaxed

```
Hf12Co5Bi
1.0
7.108 -0.381 -2.973
-3.804 6.460 -1.822
-0.248 0.381 7.701
Co Hf Bi
5 12 1
Cartesian
2.921 0.860 3.103 Co
0.000 0.000 0.000 Co
2.181 4.012 -3.164 Co
0.136 5.599 -0.197 Co
1.124 2.067 -1.630 Co
-2.535 6.479 3.678 Hf
5.478 1.098 2.498 Hf
0.861 2.196 3.378 Hf
-0.270 2.655 0.392 Hf
2.196 4.263 -0.471 Hf
0.481 5.362 2.409 Hf
3.326 3.804 2.515 Hf
-0.589 4.644 5.481 Hf
2.576 1.098 0.498 Hf
5.591 -0.019 -0.772 Hf
3.646 1.815 -2.575 Hf
-2.422 5.362 0.408 Hf
-2.026 3.420 2.940 Bi
```

Properties
**Symmetry**: Immm

=====

(8)
Hf8CoBi2 | PBE | relaxed

```
Hf8CoBi2
1.0
-2.317 -1.291 -3.279
3.048 -5.996 0.207
-5.216 -1.752 7.089
Co Hf Bi
1 8 2
Cartesian
-1.159 -0.645 -1.639 Co
0.545 -1.602 0.246 Hf
-5.030 -7.437 3.771 Hf
-2.995 -5.945 1.745 Hf
-2.574 -1.740 -0.208 Hf
-1.490 -3.094 2.271 Hf
-1.911 -7.299 4.225 Hf
-0.693 -4.339 -0.514 Hf
-3.793 -4.700 4.531 Hf
0.058 -5.721 2.211 Bi
-4.544 -3.318 1.805 Bi
```

Properties
**Symmetry**: C2/m

=====

Sequential formation enthalpy at 0 K output: 494; -308; 1118; -151; -49; -3; -237; -61 meV/atom